A plane-wave DFT calculation with PBE with a Hubbard U was carried out for an optimized crystal structure of BaFeNO2.

a b c (Å): 4.435 4.435 4.779
angles (deg): 90.00 90.00 90.00
Atoms (fractional coordinates):
Ba  0.000  0.000  0.000
Fe  0.500  0.500  0.500
N  0.000  0.000  0.500
O  0.000  0.500  0.000
O  0.500  0.000  0.000

## Properties
* DFT total energy: -4.299 eV/atom
* total magnetization: 4.00 μB per formula unit
* space-group type: No. 123



A plane-wave DFT calculation with PBE with a Hubbard U was carried out for an optimized crystal structure of BaFeN2O.

a b c (Å): 4.641 4.641 4.387
angles (deg): 90.00 90.00 90.00
Atoms (fractional coordinates):
Ba  0.000  0.000  0.000
Fe  0.500  0.500  0.500
N  0.000  0.500  0.000
N  0.500  0.000  0.000
O  0.000  0.000  0.500

## Properties
* DFT total energy: -3.941 eV/atom
* total magnetization: 5.01 μB per formula unit
* space-group type: No. 123



A plane-wave DFT calculation with PBE with a Hubbard U was carried out for an optimized crystal structure of BaFeNO2.

a b c (Å): 4.111 4.111 3.975
angles (deg): 90.00 90.00 90.00
Atoms (fractional coordinates):
Ba  0.000  0.000  0.000
Fe  0.500  0.500  0.500
N  0.500  0.500  0.000
O  0.000  0.500  0.500
O  0.500  0.000  0.500

## Properties
* DFT total energy: -6.130 eV/atom
* total magnetization: 2.99 μB per formula unit
* space-group type: No. 123



A plane-wave DFT calculation with PBE with a Hubbard U was carried out for an optimized crystal structure of BaFeN2O.

a b c (Å): 3.990 3.990 4.276
angles (deg): 90.00 90.00 90.00
Atoms (fractional coordinates):
Ba  0.000  0.000  0.000
Fe  0.500  0.500  0.500
N  0.000  0.500  0.500
N  0.500  0.000  0.500
O  0.500  0.500  0.000

## Properties
* DFT total energy: -5.952 eV/atom
* total magnetization: 2.41 μB per formula unit
* space-group type: No. 123